# 1
Below is a relaxed structure of Ho2CdO2, with properties calculated at the PBE level.

```
data_Ho2CdO2
_chemical_formula_sum 'Ho4 Cd2 O4'
_space_group_name_H-M_alt 'I 4/m m m'
_space_group_IT_number 139
_space_group_name_Hall '-I 4 2'
_cell_length_a 3.9787
_cell_length_b 3.9787
_cell_length_c 11.9324
_cell_angle_alpha 90.00
_cell_angle_beta 90.00
_cell_angle_gamma 90.00
loop_
_atom_site_label
_atom_site_type_symbol
_atom_site_fract_x
_atom_site_fract_y
_atom_site_fract_z
_atom_site_occupancy
Ho1 Ho 0.0000 0.0000 0.1619 1
Cd1 Cd 0.0000 0.0000 0.5000 1
O1 O 0.0000 0.5000 0.2500 1
```

Properties
M_tot	0.00	Bohr magnetons per cell
raw formation energy	-12.25	eV/f.u.
total DFT energy (no corrections)	-6.45	eV/atom
ρ	8.34	Mg/m³


# 2
Below is a relaxed structure of Ho5Cd2O2, with properties calculated at the PBE level.

```
data_Ho5Cd2O2
_chemical_formula_sum 'Ho20 Cd8 O8'
_space_group_name_H-M_alt 'I m m a'
_space_group_IT_number 74
_space_group_name_Hall '-I 2b 2'
_cell_length_a 6.8223
_cell_length_b 17.5633
_cell_length_c 6.9698
_cell_angle_alpha 90.00
_cell_angle_beta 90.00
_cell_angle_gamma 90.00
loop_
_atom_site_label
_atom_site_type_symbol
_atom_site_fract_x
_atom_site_fract_y
_atom_site_fract_z
_atom_site_occupancy
Ho1 Ho 0.0000 0.1358 0.0745 1
Ho2 Ho 0.2500 0.0169 0.7500 1
Ho3 Ho 0.2500 0.2500 0.7500 1
Cd1 Cd 0.0000 0.1271 0.5058 1
O1 O 0.0000 0.0000 0.0000 1
O2 O 0.0000 0.2500 0.9604 1
```

Properties
M_tot	0.00	Bohr magnetons per cell
raw formation energy	-12.62	eV/f.u.
total DFT energy (no corrections)	-5.25	eV/atom
ρ	8.60	Mg/m³